# 1
Material: SrBPt
Method: DFT, PBE
State: relaxed

Cell lengths 6.427, 6.427, 6.427 Å; angles 90.00, 90.00, 90.00 degrees
Element x y z (fractional)
Sr (0.000, 0.000, 0.000)
Sr (0.000, 0.500, 0.500)
Sr (0.500, 0.000, 0.500)
Sr (0.500, 0.500, 0.000)
B (0.000, 0.000, 0.500)
B (0.000, 0.500, 0.000)
B (0.500, 0.000, 0.000)
B (0.500, 0.500, 0.500)
Pt (0.250, 0.250, 0.750)
Pt (0.250, 0.750, 0.250)
Pt (0.750, 0.250, 0.250)
Pt (0.750, 0.750, 0.750)

## Properties
symmetry = F-43m
total DFT energy (no corrections) = -49.85 eV per cell
ΔE to the lowest computed polymorph = 244 meV per atom



# 2
Material: GdNi2Au2
Method: DFT, PBE
State: relaxed

Cell lengths 3.955, 3.955, 11.555 Å; angles 90.00, 90.00, 90.00 degrees
Element x y z (fractional)
Gd (0.250, 0.250, 0.249)
Gd (0.750, 0.750, 0.751)
Ni (0.250, 0.250, 0.853)
Ni (0.250, 0.750, 0.500)
Ni (0.750, 0.250, 0.500)
Ni (0.750, 0.750, 0.147)
Au (0.250, 0.250, 0.641)
Au (0.250, 0.750, 0.000)
Au (0.750, 0.250, 0.000)
Au (0.750, 0.750, 0.359)

## Properties
formation energy = -0.32 eV per atom
symmetry = P4/nmm
total DFT energy (no corrections) = -47.84 eV per cell
ΔE to the lowest computed polymorph = 0 meV per atom



# 3
Material: Li2HoP2Pd
Method: DFT, PBE
State: relaxed

Cell lengths 4.090, 4.090, 6.387 Å; angles 90.00, 90.00, 120.00 degrees
Element x y z (fractional)
Li (0.333, 0.667, 0.348)
Li (0.667, 0.333, 0.652)
Ho (0.000, 0.000, 0.000)
P (0.333, 0.667, 0.749)
P (0.667, 0.333, 0.251)
Pd (0.000, 0.000, 0.500)

## Properties
symmetry = P-3m1
total DFT energy (no corrections) = -29.45 eV per cell



# 4
Material: Zr2Sb2O5
Method: DFT, PBE
State: relaxed

Cell lengths 3.519, 3.519, 9.629 Å; angles 90.00, 90.00, 90.00 degrees
Element x y z (fractional)
Zr (0.000, 0.000, 0.000)
Zr (0.000, 0.000, 0.500)
Sb (0.500, 0.500, 0.220)
Sb (0.500, 0.500, 0.780)
O (0.000, 0.500, 0.328)
O (0.000, 0.500, 0.672)
O (0.500, 0.000, 0.328)
O (0.500, 0.000, 0.672)
O (0.500, 0.500, 0.500)

## Properties
symmetry = P4/mmm
total DFT energy (no corrections) = -61.04 eV per cell
ΔE to the lowest computed polymorph = 563 meV per atom



# 5
Material: NaYFeMo
Method: DFT, PBE
State: relaxed

Cell lengths 6.564, 6.564, 6.564 Å; angles 90.00, 90.00, 90.00 degrees
Element x y z (fractional)
Na (0.000, 0.000, 0.000)
Na (0.000, 0.500, 0.500)
Na (0.500, 0.000, 0.500)
Na (0.500, 0.500, 0.000)
Y (0.250, 0.250, 0.250)
Y (0.250, 0.750, 0.750)
Y (0.750, 0.250, 0.750)
Y (0.750, 0.750, 0.250)
Fe (0.000, 0.000, 0.500)
Fe (0.000, 0.500, 0.000)
Fe (0.500, 0.000, 0.000)
Fe (0.500, 0.500, 0.500)
Mo (0.250, 0.250, 0.750)
Mo (0.250, 0.750, 0.250)
Mo (0.750, 0.250, 0.250)
Mo (0.750, 0.750, 0.750)

## Properties
symmetry = F-43m
total DFT energy (no corrections) = -95.18 eV per cell
ΔE to the lowest computed polymorph = 0 meV per atom



# 6
Material: LaZrSiIr2
Method: DFT, PBE
State: relaxed

Cell lengths 4.249, 4.249, 11.373 Å; angles 90.00, 90.00, 90.00 degrees
Element x y z (fractional)
La (0.000, 0.000, 0.000)
La (0.500, 0.500, 0.500)
Zr (0.000, 0.000, 0.354)
Zr (0.500, 0.500, 0.854)
Si (0.000, 0.000, 0.606)
Si (0.500, 0.500, 0.106)
Ir (0.000, 0.500, 0.216)
Ir (0.000, 0.500, 0.716)
Ir (0.500, 0.000, 0.216)
Ir (0.500, 0.000, 0.716)

## Properties
symmetry = I4mm
total DFT energy (no corrections) = -80.28 eV per cell



# 7
Material: Ho2ErZn3AgAu2
Method: DFT, PBE
State: relaxed

Cell lengths 3.914, 7.407, 7.407 Å; angles 119.95, 90.00, 90.00 degrees
Element x y z (fractional)
Ho (0.000, 0.207, 0.793)
Ho (0.000, 0.793, 0.207)
Er (0.000, 0.620, 0.620)
Zn (0.500, 0.207, 0.457)
Zn (0.500, 0.457, 0.207)
Zn (0.500, 0.956, 0.956)
Ag (0.000, 0.207, 0.207)
Au (0.500, 0.540, 0.872)
Au (0.500, 0.872, 0.540)

## Properties
formation energy = -0.59 eV per atom
symmetry = Amm2
total DFT energy (no corrections) = -32.14 eV per cell



# 8
Material: BeNbFePb
Method: DFT, PBE
State: relaxed

Cell lengths 6.362, 6.362, 6.362 Å; angles 90.00, 90.00, 90.00 degrees
Element x y z (fractional)
Be (0.000, 0.000, 0.000)
Be (0.000, 0.500, 0.500)
Be (0.500, 0.000, 0.500)
Be (0.500, 0.500, 0.000)
Nb (0.250, 0.250, 0.250)
Nb (0.250, 0.750, 0.750)
Nb (0.750, 0.250, 0.750)
Nb (0.750, 0.750, 0.250)
Fe (0.250, 0.250, 0.750)
Fe (0.250, 0.750, 0.250)
Fe (0.750, 0.250, 0.250)
Fe (0.750, 0.750, 0.750)
Pb (0.000, 0.000, 0.500)
Pb (0.000, 0.500, 0.000)
Pb (0.500, 0.000, 0.000)
Pb (0.500, 0.500, 0.500)

## Properties
symmetry = F-43m
total DFT energy (no corrections) = -92.62 eV per cell
ΔE to the lowest computed polymorph = 221 meV per atom



# 9
Material: NiI3
Method: DFT, PBE
State: relaxed

Cell lengths 6.841, 6.841, 12.682 Å; angles 90.00, 90.00, 120.00 degrees
Element x y z (fractional)
Ni (0.000, 0.000, 0.250)
Ni (0.000, 0.000, 0.750)
Ni (0.333, 0.667, 0.250)
Ni (0.667, 0.333, 0.750)
I (0.032, 0.338, 0.369)
I (0.032, 0.694, 0.131)
I (0.306, 0.338, 0.131)
I (0.306, 0.968, 0.369)
I (0.338, 0.032, 0.869)
I (0.338, 0.306, 0.631)
I (0.662, 0.694, 0.369)
I (0.662, 0.968, 0.131)
I (0.694, 0.032, 0.631)
I (0.694, 0.662, 0.869)
I (0.968, 0.306, 0.869)
I (0.968, 0.662, 0.631)

## Properties
symmetry = P-31c
total DFT energy (no corrections) = -41.57 eV per cell



# 10
Material: Ta2FeAs2Os
Method: DFT, PBE
State: relaxed

Cell lengths 7.200, 4.138, 13.763 Å; angles 90.00, 99.69, 90.00 degrees
Element x y z (fractional)
Ta (0.000, 0.000, 0.000)
Ta (0.005, 0.500, 0.490)
Ta (0.236, 0.000, 0.735)
Ta (0.245, 0.500, 0.240)
Ta (0.482, 0.000, 0.482)
Ta (0.499, 0.500, 0.999)
Ta (0.743, 0.000, 0.235)
Ta (0.756, 0.500, 0.737)
Fe (0.059, 0.500, 0.674)
Fe (0.060, 0.000, 0.181)
Fe (0.304, 0.500, 0.423)
Fe (0.557, 0.500, 0.180)
As (0.119, 0.500, 0.858)
As (0.126, 0.000, 0.361)
As (0.359, 0.500, 0.608)
As (0.372, 0.000, 0.123)
As (0.608, 0.500, 0.360)
As (0.621, 0.000, 0.863)
As (0.874, 0.500, 0.123)
As (0.880, 0.000, 0.615)
Os (0.308, 0.000, 0.929)
Os (0.556, 0.000, 0.673)
Os (0.807, 0.000, 0.424)
Os (0.811, 0.500, 0.931)

## Properties
symmetry = Pm
total DFT energy (no corrections) = -218.30 eV per cell



# 11
Material: Ag2HgGeSe3S
Method: DFT, PBE
State: relaxed

Cell lengths 8.414, 8.491, 7.257 Å; angles 90.00, 124.99, 90.00 degrees
Element x y z (fractional)
Ag (0.000, 0.239, 0.000)
Ag (0.000, 0.761, 0.000)
Ag (0.500, 0.261, 0.000)
Ag (0.500, 0.739, 0.000)
Hg (0.007, 0.500, 0.510)
Hg (0.507, 0.000, 0.510)
Ge (0.001, 0.000, 0.518)
Ge (0.501, 0.500, 0.518)
Se (0.353, 0.000, 0.760)
Se (0.383, 0.273, 0.270)
Se (0.383, 0.727, 0.270)
Se (0.853, 0.500, 0.760)
Se (0.883, 0.227, 0.270)
Se (0.883, 0.773, 0.270)
S (0.396, 0.500, 0.746)
S (0.896, 0.000, 0.746)

## Properties
symmetry = Cm
total DFT energy (no corrections) = -53.67 eV per cell



# 12
Material: Ta7Al5
Method: DFT, PBE
State: relaxed

Cell lengths 5.235, 5.235, 18.150 Å; angles 90.00, 90.00, 120.00 degrees
Element x y z (fractional)
Ta (0.000, 0.500, 0.000)
Ta (0.000, 0.500, 0.500)
Ta (0.333, 0.667, 0.125)
Ta (0.333, 0.667, 0.375)
Ta (0.333, 0.667, 0.660)
Ta (0.333, 0.667, 0.840)
Ta (0.500, 0.000, 0.000)
Ta (0.500, 0.000, 0.500)
Ta (0.500, 0.500, 0.000)
Ta (0.500, 0.500, 0.500)
Ta (0.667, 0.333, 0.160)
Ta (0.667, 0.333, 0.340)
Ta (0.667, 0.333, 0.625)
Ta (0.667, 0.333, 0.875)
Al (0.000, 0.000, 0.092)
Al (0.000, 0.000, 0.408)
Al (0.000, 0.000, 0.592)
Al (0.000, 0.000, 0.908)
Al (0.165, 0.330, 0.250)
Al (0.165, 0.835, 0.250)
Al (0.330, 0.165, 0.750)
Al (0.670, 0.835, 0.250)
Al (0.835, 0.165, 0.750)
Al (0.835, 0.670, 0.750)

## Properties
symmetry = P6_3/mmc
total DFT energy (no corrections) = -200.25 eV per cell
ΔE to the lowest computed polymorph = 257 meV per atom



# 13
Material: Dy3In3Cu2Au
Method: DFT, PBE
State: relaxed

Cell lengths 7.606, 7.606, 3.959 Å; angles 90.00, 90.00, 120.00 degrees
Element x y z (fractional)
Dy (0.000, 0.407, 0.000)
Dy (0.407, 0.000, 0.000)
Dy (0.593, 0.593, 0.000)
In (0.000, 0.729, 0.500)
In (0.271, 0.271, 0.500)
In (0.729, 0.000, 0.500)
Cu (0.333, 0.667, 0.500)
Cu (0.667, 0.333, 0.500)
Au (0.000, 0.000, 0.000)

## Properties
symmetry = P-62m
total DFT energy (no corrections) = -37.19 eV per cell



# 14
Material: Lu2CoPd
Method: DFT, PBE
State: relaxed

Cell lengths 6.633, 6.633, 6.633 Å; angles 90.00, 90.00, 90.00 degrees
Element x y z (fractional)
Lu (0.000, 0.000, 0.000)
Lu (0.000, 0.500, 0.500)
Lu (0.250, 0.250, 0.250)
Lu (0.250, 0.750, 0.750)
Lu (0.500, 0.000, 0.500)
Lu (0.500, 0.500, 0.000)
Lu (0.750, 0.250, 0.750)
Lu (0.750, 0.750, 0.250)
Co (0.250, 0.250, 0.750)
Co (0.250, 0.750, 0.250)
Co (0.750, 0.250, 0.250)
Co (0.750, 0.750, 0.750)
Pd (0.000, 0.000, 0.500)
Pd (0.000, 0.500, 0.000)
Pd (0.500, 0.000, 0.000)
Pd (0.500, 0.500, 0.500)

## Properties
formation energy = -0.10 eV per atom
symmetry = F-43m
total DFT energy (no corrections) = -86.97 eV per cell



# 15
Material: TaAgGe
Method: DFT, PBE
State: relaxed

Cell lengths 6.285, 6.285, 6.285 Å; angles 90.00, 90.00, 90.00 degrees
Element x y z (fractional)
Ta (0.000, 0.000, 0.000)
Ta (0.000, 0.500, 0.500)
Ta (0.500, 0.000, 0.500)
Ta (0.500, 0.500, 0.000)
Ag (0.250, 0.250, 0.750)
Ag (0.250, 0.750, 0.250)
Ag (0.750, 0.250, 0.250)
Ag (0.750, 0.750, 0.750)
Ge (0.250, 0.250, 0.250)
Ge (0.250, 0.750, 0.750)
Ge (0.750, 0.250, 0.750)
Ge (0.750, 0.750, 0.250)

## Properties
symmetry = F-43m
total DFT energy (no corrections) = -70.40 eV per cell



# 16
Material: KNaZrSe3
Method: DFT, PBE
State: relaxed

Cell lengths 14.962, 4.061, 11.268 Å; angles 90.00, 90.00, 90.00 degrees
Element x y z (fractional)
K (0.238, 0.250, 0.024)
K (0.262, 0.750, 0.524)
K (0.738, 0.250, 0.476)
K (0.762, 0.750, 0.976)
Na (0.027, 0.750, 0.088)
Na (0.473, 0.250, 0.588)
Na (0.527, 0.750, 0.412)
Na (0.973, 0.250, 0.912)
Zr (0.013, 0.250, 0.340)
Zr (0.487, 0.750, 0.840)
Zr (0.513, 0.250, 0.160)
Zr (0.987, 0.750, 0.660)
Se (0.091, 0.250, 0.565)
Se (0.091, 0.750, 0.848)
Se (0.131, 0.750, 0.284)
Se (0.369, 0.250, 0.784)
Se (0.409, 0.250, 0.348)
Se (0.409, 0.750, 0.065)
Se (0.591, 0.250, 0.935)
Se (0.591, 0.750, 0.652)
Se (0.631, 0.750, 0.216)
Se (0.869, 0.250, 0.716)
Se (0.909, 0.250, 0.152)
Se (0.909, 0.750, 0.435)

## Properties
symmetry = Pnma
total DFT energy (no corrections) = -114.67 eV per cell
ΔE to the lowest computed polymorph = 86 meV per atom



# 17
Material: MgZnRe2N4
Method: DFT, PBE
State: relaxed

Cell lengths 4.661, 4.661, 9.263 Å; angles 90.00, 90.00, 90.00 degrees
Element x y z (fractional)
Mg (0.000, 0.000, 0.000)
Mg (0.500, 0.500, 0.500)
Zn (0.000, 0.500, 0.250)
Zn (0.500, 0.000, 0.750)
Re (0.000, 0.000, 0.500)
Re (0.000, 0.500, 0.750)
Re (0.500, 0.000, 0.250)
Re (0.500, 0.500, 0.000)
N (0.225, 0.247, 0.627)
N (0.247, 0.775, 0.373)
N (0.253, 0.725, 0.873)
N (0.275, 0.253, 0.127)
N (0.725, 0.747, 0.127)
N (0.747, 0.275, 0.873)
N (0.753, 0.225, 0.373)
N (0.775, 0.753, 0.627)

## Properties
symmetry = I-4
total DFT energy (no corrections) = -121.02 eV per cell



# 18
Material: Fe2Te3S
Method: DFT, PBE
State: relaxed

Cell lengths 5.088, 3.780, 6.060 Å; angles 90.00, 92.43, 90.00 degrees
Element x y z (fractional)
Fe (0.000, 0.000, 0.000)
Fe (0.469, 0.500, 0.475)
Te (0.265, 0.500, 0.846)
Te (0.720, 0.500, 0.129)
Te (0.763, 0.000, 0.617)
S (0.213, 0.000, 0.342)

## Properties
symmetry = Pm
total DFT energy (no corrections) = -31.20 eV per cell



# 19
Material: LuBeFeBi
Method: DFT, PBE
State: relaxed

Cell lengths 6.765, 6.765, 6.765 Å; angles 90.00, 90.00, 90.00 degrees
Element x y z (fractional)
Lu (0.000, 0.000, 0.000)
Lu (0.000, 0.500, 0.500)
Lu (0.500, 0.000, 0.500)
Lu (0.500, 0.500, 0.000)
Be (0.000, 0.000, 0.500)
Be (0.000, 0.500, 0.000)
Be (0.500, 0.000, 0.000)
Be (0.500, 0.500, 0.500)
Fe (0.250, 0.250, 0.250)
Fe (0.250, 0.750, 0.750)
Fe (0.750, 0.250, 0.750)
Fe (0.750, 0.750, 0.250)
Bi (0.250, 0.250, 0.750)
Bi (0.250, 0.750, 0.250)
Bi (0.750, 0.250, 0.250)
Bi (0.750, 0.750, 0.750)

## Properties
symmetry = F-43m
total DFT energy (no corrections) = -74.86 eV per cell
ΔE to the lowest computed polymorph = 155 meV per atom



# 20
Material: Dy2ErSn3Pd2Pt
Method: DFT, PBE
State: relaxed

Cell lengths 3.946, 7.569, 7.569 Å; angles 119.91, 90.00, 90.00 degrees
Element x y z (fractional)
Dy (0.000, 0.201, 0.799)
Dy (0.000, 0.799, 0.201)
Er (0.000, 0.399, 0.399)
Sn (0.500, 0.061, 0.061)
Sn (0.500, 0.537, 0.799)
Sn (0.500, 0.799, 0.537)
Pd (0.500, 0.134, 0.465)
Pd (0.500, 0.465, 0.134)
Pt (0.000, 0.798, 0.798)

## Properties
symmetry = Amm2
total DFT energy (no corrections) = -51.01 eV per cell